Record 1
VASP calculation (GGA-PBE) on a geometry-optimized Na2Ge3Cl8 structure.

Calculated values
Total moment   0.000 μB per cell
DOS(E_F)   0.000 states/eV/atom
Space group   C2/m, No. 12
ΔE_f (raw)   -105 kJ/mol of atoms

abc: 6.832 7.862 7.921
angles: 119.75 100.49 90.00
Element x y z (fractional)
Na1 0.606 0.721 0.443
Cl1 0.629 0.116 0.764
Cl2 0.127 0.887 0.775
Cl3 0.902 0.609 0.218
Ge1 0.000 0.744 0.000
Ge2 0.000 0.256 0.000
Na2 0.394 0.279 0.557
Cl4 0.098 0.391 0.782
Cl5 0.371 0.884 0.236
Cl6 0.873 0.113 0.225
Cl7 0.629 0.648 0.764
Ge3 0.500 0.000 0.000
Cl8 0.371 0.352 0.236

Record 2
VASP calculation (GGA-PBE) on a geometry-optimized Dy2AgHg structure.

Calculated values
Total moment   0.000 μB per cell
DOS(E_F)   0.657 states/eV/atom
Space group   Pmma, No. 51
E_form   -0.40 eV/atom

abc: 3.669 5.211 10.409
angles: 90.00 90.00 90.00
Element x y z (fractional)
Dy1 0.000 0.250 0.121
Dy2 0.000 0.750 0.371
Dy3 0.000 0.250 0.629
Ag1 0.500 0.750 0.125
Hg1 0.500 0.250 0.373
Hg2 0.500 0.750 0.627
Dy4 0.000 0.750 0.879
Ag2 0.500 0.250 0.875

Record 3
VASP calculation (GGA-PBE) on a geometry-optimized ErTmPt6 structure.

Calculated values
Total moment   0.000 μB per cell
DOS(E_F)   0.931 states/eV/atom
Space group   P4/mmm, No. 123
E_form   -1.08 eV/atom

abc: 4.096 4.096 8.191
angles: 90.00 90.00 90.00
Element x y z (fractional)
Er1 0.000 0.000 0.000
Pt1 0.500 0.000 0.749
Pt2 0.500 0.000 0.251
Tm1 0.000 0.000 0.500
Pt3 0.500 0.500 0.500
Pt4 0.000 0.500 0.251
Pt5 0.500 0.500 0.000
Pt6 0.000 0.500 0.749

Record 4
VASP calculation (GGA-PBE) on a geometry-optimized AgHgMo2 structure.

Calculated values
Total moment   0.000 μB per cell
DOS(E_F)   0.392 states/eV/atom
Space group   P4/mmm, No. 123
E_form   0.58 eV/atom

abc: 2.761 2.761 9.041
angles: 90.00 90.00 89.99
Element x y z (fractional)
Ag1 0.500 0.500 0.250
Mo1 0.000 0.000 0.005
Mo2 0.000 0.000 0.495
Hg1 0.500 0.500 0.750

Record 5
VASP calculation (GGA-PBE) on a geometry-optimized NaTeH2Br structure.

Calculated values
Total moment   1.235 μB per cell
DOS(E_F)   0.498 states/eV/atom
Space group   P4/mmm, No. 123
Total DFT energy (no corrections)   -2.014 eV per atom

abc: 4.262 6.628 4.262
angles: 90.00 90.00 90.00
Each line ends with the local moment (μB).
Element x y z (fractional)
Te1 0.000 0.500 0.000  0.04
H1 0.500 0.000 0.000  0.24
Br1 0.500 0.500 0.500  0.00
Na1 0.000 0.000 0.000  0.01
H2 0.000 0.000 0.500  0.24

Record 6
VASP calculation (GGA-PBE) on a geometry-optimized Ba3Pt4 structure.

Calculated values
Total moment   0.000 μB per cell
DOS(E_F)   0.130 states/eV/atom
Space group   I4/mmm, No. 139
E_form   -0.23 eV/atom

abc: 11.217 11.217 11.217
angles: 157.09 157.09 32.62
Element x y z (fractional)
Pt1 0.558 0.558 0.000
Pt2 0.838 0.838 0.000
Ba1 0.000 0.000 0.000
Pt3 0.162 0.162 0.000
Pt4 0.442 0.442 0.000
Ba2 0.690 0.690 0.000
Ba3 0.310 0.310 0.000

Record 7
VASP calculation (GGA-PBE) on a geometry-optimized NaB2Se structure.

Calculated values
Total moment   0.000 μB per cell
DOS(E_F)   0.312 states/eV/atom
Space group   I-42d, No. 122
ΔE_f (raw)   108 kJ/mol of atoms

abc: 6.590 6.590 5.388
angles: 52.29 52.29 90.00
Element x y z (fractional)
Na1 0.500 0.500 0.000
Se1 0.000 0.000 0.000
Se2 0.750 0.250 0.500
B1 0.070 0.625 0.250
B2 0.875 0.930 0.750
B3 0.375 0.320 0.750
B4 0.680 0.125 0.250
Na2 0.250 0.750 0.500

Record 8
VASP calculation (GGA-PBE) on a geometry-optimized CaB2PPb structure.

Calculated values
Total moment   0.000 μB per cell
DOS(E_F)   1.145 states/eV/atom
Space group   P4/mmm, No. 123
E_form   1.43 eV/atom

abc: 4.222 10.484 4.222
angles: 90.00 90.00 90.00
Element x y z (fractional)
P1 0.000 0.000 0.000
B1 0.000 0.000 0.500
B2 0.500 0.000 0.000
Ca1 0.000 0.500 0.000
Pb1 0.500 0.500 0.500